A geometry-optimized Ta2RuAu2 structure, computed with PBE.

Geometry as CIF:
```
data_Ta2RuAu2
_cell_length_a 7.130
_cell_length_b 7.130
_cell_length_c 7.130
_cell_angle_alpha 149.07
_cell_angle_beta 149.07
_cell_angle_gamma 44.31
_space_group_name_H-M_alt 'P 1'
_space_group_IT_number 1
loop_
_space_group_symop_operation_xyz
'x,y,z'
loop_
_atom_site_label
_atom_site_type_symbol
_atom_site_fract_x
_atom_site_fract_y
_atom_site_fract_z
Ta1 Ta 0.250 0.750 0.500
Ta2 Ta 0.750 0.250 0.500
Ru1 Ru 0.000 0.000 0.000
Au1 Au 0.403 0.403 0.000
Au2 Au 0.597 0.597 0.000
```

Values from the calculation:
The space group is I4/mmm, No. 139. As for the crystal system: tetragonal. The calculation puts the formation enthalpy at 0 K at 3.5 eV per formula unit.